The following is a PBE calculation of a geometry-optimized TcAuBr2 structure, from the Alexandria database.

```
4
Lattice="-1.960 1.960 6.174 1.960 -1.960 6.174 1.960 1.960 -6.174" Properties=species:S:1:pos:R:3 pbc="T T T"
Tc 0.000 0.000 0.000
Au 1.960 0.000 3.087
Br 0.000 0.000 6.174
Br 0.000 1.960 3.087
```

ΔE_f (raw): 73.1 kJ/mol of atoms
V: 23.7 A^3/atom
Total magnetization: 4.00 Bohr magnetons per cell
N(E_F): 2.7 states/eV/f.u.
Energy above the most stable polymorph in this dataset: 565 meV/atom

***

The following is a PBE calculation of a geometry-optimized TcAuBr2 structure, from the Alexandria database.

```
4
Lattice="1.613 0.931 10.376 -1.613 0.931 10.376 0.000 -1.863 10.376" Properties=species:S:1:pos:R:3 pbc="T T T"
Tc 0.000 0.000 0.000
Au 0.000 0.000 15.563
Br 0.000 0.000 12.165
Br 0.000 0.000 18.962
```

ΔE_f (raw): 38.1 kJ/mol of atoms
V: 23.4 A^3/atom
Total magnetization: 0.50 Bohr magnetons per cell
N(E_F): 3.8 states/eV/f.u.
Energy above the most stable polymorph in this dataset: 201 meV/atom

***

The following is a PBE calculation of a geometry-optimized TcAu2Br6 structure, from the Alexandria database.

```
18
Lattice="7.075 -7.557 0.000 7.075 7.557 0.000 -0.663 0.000 6.336" Properties=species:S:1:pos:R:3 pbc="T T T"
Tc 6.578 6.472 4.752
Tc 6.909 -6.472 1.584
Au 5.379 -0.005 1.338
Au 5.048 0.005 4.506
Au 8.440 -0.005 1.830
Au 8.108 0.005 4.998
Br 1.047 0.853 3.813
Br 4.970 4.826 5.511
Br 1.378 -0.853 0.645
Br 5.097 1.877 2.903
Br 8.186 4.826 3.993
Br 8.722 1.877 0.265
Br 4.765 -1.877 6.071
Br 5.302 -4.826 2.343
Br 8.390 -1.877 3.433
Br 12.109 0.853 5.691
Br 8.517 -4.826 0.825
Br 12.440 -0.853 2.523
```

ΔE_f (raw): -23.6 kJ/mol of atoms
V: 37.6 A^3/atom
Total magnetization: 6.02 Bohr magnetons per cell
N(E_F): 0.3 states/eV/f.u.

***

The following is a PBE calculation of a geometry-optimized Tc2AuBr2 structure, from the Alexandria database.

```
10
Lattice="6.888 0.000 0.000 0.000 6.888 0.000 0.000 0.000 4.788" Properties=species:S:1:pos:R:3 pbc="T T T"
Tc 0.753 2.691 0.000
Tc 2.691 6.135 0.000
Tc 4.197 0.753 0.000
Tc 6.135 4.197 0.000
Au 0.000 0.000 0.000
Au 3.444 3.444 0.000
Br 1.255 2.189 2.394
Br 2.189 5.633 2.394
Br 4.699 1.255 2.394
Br 5.633 4.699 2.394
```

ΔE_f (raw): 41.7 kJ/mol of atoms
V: 22.7 A^3/atom
Total magnetization: 0.00 Bohr magnetons per cell
N(E_F): 3.5 states/eV/f.u.
Energy above the most stable polymorph in this dataset: 0 meV/atom

***

Going through the records in order, we get VASP energy values of -13.96, -15.41, -58.32, -50.39 eV per cell.